A plane-wave DFT calculation with PBE-GGA was carried out for Ca2ScBr after structural relaxation.

POSCAR file:
```
Ca2ScBr
1.0
-4.4802 -5.0287 -1.9550
-0.8024 -2.3184 -6.5699
4.9342 1.4321 4.7733
Br Sc Ca
1 1 2
Direct
0.7500 0.2500 0.5000 Br
0.5000 0.5000 0.0000 Sc
0.2500 0.7500 0.5000 Ca
0.0000 0.0000 0.0000 Ca
```

Results
- SG = I-4m2, No. 119


A plane-wave DFT calculation with PBE-GGA was carried out for Hf2AlAu8 after structural relaxation.

POSCAR file:
```
Hf2AlAu8
1.0
-1.2081 -4.5790 0.5769
5.8322 -1.8753 -2.6709
0.3482 3.2566 6.8517
Au Hf Al
8 2 1
Direct
0.1695 0.1686 0.3391 Au
0.6335 0.4181 0.2669 Au
0.0004 0.2867 0.0008 Au
0.3665 0.5819 0.7331 Au
0.9996 0.7133 0.9992 Au
0.3674 0.1528 0.7348 Au
0.8305 0.8314 0.6609 Au
0.6326 0.8472 0.2652 Au
0.7994 0.2984 0.5988 Hf
0.2006 0.7016 0.4012 Hf
0.5000 0.0000 0.0000 Al
```

Results
- SG = C2/m, No. 12


A plane-wave DFT calculation with PBE-GGA was carried out for Nd6As2Se3Br after structural relaxation.

POSCAR file:
```
Nd6As2Se3Br
1.0
4.2593 0.0000 0.0000
0.0000 8.5352 0.3528
-2.1296 -2.4110 8.9594
Nd Se As Br
6 3 2 1
Direct
0.0050 0.2759 0.0100 Nd
0.6778 0.0990 0.3555 Nd
0.3306 0.4214 0.6611 Nd
0.6694 0.5786 0.3389 Nd
0.3222 0.9010 0.6445 Nd
0.9950 0.7241 0.9900 Nd
0.1604 0.8351 0.3209 Se
0.5000 0.5000 0.0000 Se
0.8396 0.1649 0.6791 Se
0.8337 0.6682 0.6673 As
0.1663 0.3318 0.3327 As
0.5000 0.0000 0.0000 Br
```

Results
- SG = C2/m, No. 12


A plane-wave DFT calculation with PBE-GGA was carried out for Na4AgSb3Se8 after structural relaxation.

POSCAR file:
```
Na4AgSb3Se8
1.0
8.0842 0.0000 0.0000
0.0000 8.5142 0.2291
-4.0421 -4.0830 5.8912
Se Na Ag Sb
8 4 1 3
Direct
0.7388 0.2541 0.4775 Se
0.7740 0.2834 0.0169 Se
0.2612 0.7459 0.5225 Se
0.7572 0.7166 0.9831 Se
0.2260 0.7166 0.9831 Se
0.7426 0.7334 0.4851 Se
0.2428 0.2834 0.0169 Se
0.2574 0.2666 0.5149 Se
0.0000 0.0000 0.0000 Na
0.5000 0.0000 0.5000 Na
0.5000 0.0000 0.0000 Na
0.0000 0.0000 0.5000 Na
0.0000 0.5000 0.0000 Ag
0.0000 0.5000 0.5000 Sb
0.5000 0.5000 0.0000 Sb
0.5000 0.5000 0.5000 Sb
```

Results
- SG = C2/m, No. 12


A plane-wave DFT calculation with PBE-GGA was carried out for ErLuTlBi after structural relaxation.

POSCAR file:
```
ErLuTlBi
1.0
5.3921 0.0000 0.0000
2.6960 4.6697 0.0000
2.6960 1.5566 4.4026
Tl Lu Er Bi
1 1 1 1
Direct
0.0000 0.0000 0.0000 Tl
0.7500 0.7500 0.7500 Lu
0.2500 0.2500 0.2500 Er
0.5000 0.5000 0.5000 Bi
```

Results
- SG = F-43m, No. 216


A plane-wave DFT calculation with PBE-GGA was carried out for BaBe2Sb after structural relaxation.

POSCAR file:
```
BaBe2Sb
1.0
3.4212 0.0963 0.0000
-0.1004 3.4211 0.0000
0.0000 0.0000 7.5172
Be Ba Sb
2 1 1
Direct
0.5000 0.5000 0.2084 Be
0.0000 0.0000 0.0956 Be
0.5000 0.5000 0.7785 Ba
0.0000 0.0000 0.4175 Sb
```

Results
- SG = P4mm, No. 99


A plane-wave DFT calculation with PBE-GGA was carried out for PrB3 after structural relaxation.

POSCAR file:
```
PrB3
1.0
3.5417 0.1403 4.4172
-5.5886 0.3736 0.8384
-0.1939 -3.4979 0.2666
B Pr
6 2
Direct
0.1047 0.8953 0.2500 B
0.8953 0.1047 0.7500 B
0.7905 0.8953 0.2500 B
0.2095 0.1047 0.7500 B
0.8953 0.7905 0.7500 B
0.1047 0.2095 0.2500 B
0.3333 0.6667 0.7500 Pr
0.6667 0.3333 0.2500 Pr
```

Results
- SG = P6_3/mmc, No. 194


A plane-wave DFT calculation with PBE-GGA was carried out for ZrPtAu2 after structural relaxation.

POSCAR file:
```
ZrPtAu2
1.0
-1.0075 -3.0133 -9.2531
-1.1755 -5.6359 -7.9100
-3.5917 -3.9646 -8.1912
Au Pt Zr
2 1 1
Direct
0.5019 0.5019 0.5019 Au
0.9981 0.9981 0.9981 Au
0.2500 0.2500 0.2500 Pt
0.7500 0.7500 0.7500 Zr
```

Results
- SG = R-3m, No. 166


| no. | magnetization (μB/cell) | E_tot (eV per atom) |
| --- | --- | --- |
| 1 | 0.68 | -3.14 |
| 2 | 0.00 | -4.92 |
| 3 | 0.00 | -5.82 |
| 4 | 0.00 | -3.57 |
| 5 | 0.00 | -4.17 |
| 6 | 0.00 | -3.01 |
| 7 | 0.00 | -6.23 |
| 8 | 0.00 | -5.41 |